Density functional theory data (PBE-GGA) for a relaxed structure of Ho3Sc4Sn4.

Output
* ΔH_f (0 K): -541 meV/atom
* calculated total energy: -5.547 eV/atom

Lattice parameters (Å, degrees): 9.293 9.293 9.293 154.10 123.07 63.56
Fractional positions:
1 Ho 0.000 0.000 0.000
2 Ho 0.387 0.887 0.500
3 Ho 0.613 0.113 0.500
4 Sc 0.024 0.326 0.698
5 Sc 0.373 0.674 0.698
6 Sc 0.627 0.326 0.302
7 Sc 0.976 0.674 0.302
8 Sn 0.238 0.238 0.000
9 Sn 0.289 0.500 0.789
10 Sn 0.711 0.500 0.211
11 Sn 0.762 0.762 0.000